Entry 1:
The following is a DFT calculation (PBEsol) of an optimized crystal structure of Y3In8Co.

Unit cell a=6.4379 b=9.8186 c=9.8186 alpha=120.00 beta=90.00 gamma=90.00
Closest atoms and distances in Å follow each position.
Positions (direct):
In (0.5030, 0.4890, 0.9781)  1 Co 2.65
In (0.6073, 0.6667, 0.3333)  1 Co 2.56
In (0.2709, 0.7955, 0.2045)  1 Co 2.78, 5 In 3.00-3.09
In (0.7709, 0.2045, 0.4089)  1 Co 2.78, 5 In 3.00-3.09
Y (0.7719, 0.8406, 0.6811)  11 In 3.14-3.45, 1 Co 3.32
Y (0.7719, 0.8406, 0.1594)  11 In 3.14-3.45, 1 Co 3.32
In (0.2709, 0.4089, 0.2045)  1 Co 2.78, 5 In 3.00-3.09
In (0.2709, 0.7955, 0.5911)  1 Co 2.78, 5 In 3.00-3.09
In (0.7709, 0.5911, 0.7955)  1 Co 2.78, 5 In 3.00-3.09
In (0.7709, 0.2045, 0.7955)  1 Co 2.78, 5 In 3.00-3.09
Y (0.7719, 0.3189, 0.1594)  11 In 3.14-3.45, 1 Co 3.32
In (0.5228, 0.0000, 0.0000)  6 Y 3.15-3.16, 2 In 3.22
In (0.5030, 0.4890, 0.5110)  1 Co 2.65
In (0.0228, 0.0000, 0.0000)  6 Y 3.15-3.16, 2 In 3.22
Y (0.2719, 0.6811, 0.8406)  11 In 3.14-3.45, 1 Co 3.32
Co (0.0054, 0.6667, 0.3333)  7 In 2.56-2.78
In (0.0030, 0.5110, 0.0219)  1 Co 2.65
In (0.1073, 0.3333, 0.6667)  1 Co 2.56
Y (0.2719, 0.1594, 0.8406)  11 In 3.14-3.45, 1 Co 3.32
In (0.0030, 0.5110, 0.4890)  1 Co 2.65
In (0.0030, 0.9781, 0.4890)  1 Co 2.65
Y (0.2719, 0.1594, 0.3189)  11 In 3.14-3.45, 1 Co 3.32
Co (0.5054, 0.3333, 0.6667)  7 In 2.56-2.78
In (0.5030, 0.0219, 0.5110)  1 Co 2.65

Summary:
The total magnetic moment is 0.0 μB per cell. The value obtained for the final energy is -113.1 eV per cell. As for the volume: 537.5 Å³/cell.

---

Entry 2:
The following is a DFT calculation (PBEsol) of an optimized crystal structure of Y8In2Co.

Unit cell a=4.6937 b=4.6937 c=13.1445 alpha=90.00 beta=90.00 gamma=90.00
Closest atoms and distances in Å follow each position.
Positions (direct):
Y (0.5000, 0.5000, 0.6858)  4 In 3.32, 8 Y 3.39-3.45
Co (0.0000, 0.0000, 0.0000)  8 Y 2.84
In (0.0000, 0.0000, 0.6833)  12 Y 3.32-3.48
In (0.0000, 0.0000, 0.3167)  12 Y 3.32-3.48
Y (0.5000, 0.5000, 0.3142)  4 In 3.32, 8 Y 3.39-3.45
Y (0.5000, 0.0000, 0.1216)  2 Co 2.84
Y (0.0000, 0.5000, 0.1216)  2 Co 2.84
Y (0.5000, 0.0000, 0.8784)  2 Co 2.84
Y (0.0000, 0.5000, 0.8784)  2 Co 2.84
Y (0.5000, 0.0000, 0.5000)  8 Y 3.32-3.39, 4 In 3.36
Y (0.0000, 0.5000, 0.5000)  8 Y 3.32-3.39, 4 In 3.36

Summary:
The total magnetic moment is 0.0 μB per cell. The value obtained for the final energy is -70.6 eV per cell. As for the volume: 289.6 Å³/cell.

---

Entry 3:
The following is a DFT calculation (PBEsol) of an optimized crystal structure of YInCo2.

Unit cell a=3.8836 b=3.8836 c=6.0730 alpha=71.35 beta=71.35 gamma=60.00
Closest atoms and distances in Å follow each position.
Positions (direct):
Co (0.7133, 0.7133, 0.8601)  3 Co 2.24
Co (0.0457, 0.0457, 0.8629)  3 Co 2.24
Y (0.2738, 0.2738, 0.1786)  6 Co 2.86-2.87
In (0.4672, 0.4672, 0.5983)  6 Co 2.69

Summary:
The total magnetic moment is 0.6 μB per cell. The value obtained for the final energy is -25.8 eV per cell. As for the volume: 73.7 Å³/cell.